The following is a DFT calculation (PBE) of a relaxed Ac2ScSi3Rh12 crystal.

abc: 6.798 6.798 6.798
angles: 84.32 84.32 84.32
Sites, in units of the cell vectors:
Ac (0.635, 0.635, 0.635)
Ac (0.365, 0.365, 0.365)
Sc (0.000, 0.000, 0.000)
Si (0.500, 0.000, 0.000)
Si (0.000, 0.500, 0.000)
Si (0.000, 0.000, 0.500)
Rh (0.371, 0.371, 0.915)
Rh (0.822, 0.822, 0.316)
Rh (0.316, 0.822, 0.822)
Rh (0.915, 0.371, 0.371)
Rh (0.822, 0.316, 0.822)
Rh (0.371, 0.915, 0.371)
Rh (0.629, 0.629, 0.085)
Rh (0.178, 0.178, 0.684)
Rh (0.684, 0.178, 0.178)
Rh (0.085, 0.629, 0.629)
Rh (0.178, 0.684, 0.178)
Rh (0.629, 0.085, 0.629)

Results
raw formation energy = -31 kJ/mol of atoms
crystal system = trigonal
M_tot = 0.0 μB/f.u.
raw total energy = -124.784 eV for the cell shown